[1]
This record from Alexandria via LeMat-Bulk describes a relaxed CePu3Pb2 crystal. The functional is PBE.

abc: 8.7900 8.7900 5.6167
angles: 98.90 98.90 126.07
Atoms (fractional coordinates):
1 Ce 0.2191 0.7809 0.7500
2 Ce 0.7809 0.2191 0.2500
3 Pu 0.0560 0.9440 0.7500
4 Pu 0.2800 0.4167 0.4284
5 Pu 0.4167 0.2800 0.9284
6 Pu 0.5833 0.7200 0.0716
7 Pu 0.7200 0.5833 0.5716
8 Pu 0.9440 0.0560 0.2500
9 Pb 0.0752 0.3542 0.8592
10 Pb 0.3542 0.0752 0.3592
11 Pb 0.6458 0.9248 0.6408
12 Pb 0.9248 0.6458 0.1408

Its formation energy is -4.0 kJ per mole of atoms. As for the space group: C2/c.


[2]
This record from Alexandria via LeMat-Bulk describes a relaxed Ce6PuPb crystal. The functional is PBE.

abc: 6.9987 6.9987 11.8405
angles: 99.61 99.61 51.30
Atoms (fractional coordinates):
1 Ce 0.0041 0.8328 0.6049
2 Ce 0.1403 0.3028 0.6814
3 Ce 0.1672 0.9959 0.8951
4 Ce 0.2887 0.4355 0.9656
5 Ce 0.3028 0.1403 0.1814
6 Ce 0.4355 0.2887 0.4656
7 Ce 0.5645 0.7113 0.5344
8 Ce 0.6972 0.8597 0.8186
9 Ce 0.7113 0.5645 0.0344
10 Ce 0.8328 0.0041 0.1049
11 Ce 0.8597 0.6972 0.3186
12 Ce 0.9959 0.1672 0.3951
13 Pu 0.0000 0.5000 0.5000
14 Pu 0.5000 0.0000 0.0000
15 Pb 0.4032 0.5968 0.2500
16 Pb 0.5968 0.4032 0.7500

Its formation energy is -19.1 kJ per mole of atoms. As for the space group: C2/c.


[3]
This record from Alexandria via LeMat-Bulk describes a relaxed Ce5Pu2Pb3 crystal. The functional is PBE.

abc: 11.0924 11.0924 11.0924
angles: 133.32 60.97 143.06
Atoms (fractional coordinates):
1 Ce 0.0226 0.7500 0.2726
2 Ce 0.1152 0.7325 0.8477
3 Ce 0.2500 0.2500 0.0000
4 Ce 0.3848 0.2325 0.6173
5 Ce 0.4774 0.7500 0.7274
6 Ce 0.5226 0.2500 0.2726
7 Ce 0.6152 0.7675 0.3827
8 Ce 0.7500 0.7500 0.0000
9 Ce 0.8848 0.2675 0.1523
10 Ce 0.9774 0.2500 0.7274
11 Pu 0.1375 0.4597 0.5972
12 Pu 0.3625 0.9597 0.3222
13 Pu 0.6375 0.0403 0.6778
14 Pu 0.8625 0.5403 0.4028
15 Pb 0.1344 0.1175 0.2520
16 Pb 0.2500 0.7500 0.5000
17 Pb 0.3656 0.6175 0.9831
18 Pb 0.6344 0.3825 0.0169
19 Pb 0.7500 0.2500 0.5000
20 Pb 0.8656 0.8825 0.7480

Its formation energy is 5.0 kJ per mole of atoms. As for the space group: Ibam.


[4]
This record from Alexandria via LeMat-Bulk describes a relaxed CePuPb2 crystal. The functional is PBE.

abc: 4.9359 4.9359 4.7245
angles: 90.00 90.00 90.00
Atoms (fractional coordinates):
1 Ce 0.0000 0.0000 0.0000
2 Pu 0.5000 0.5000 0.0000
3 Pb 0.0000 0.5000 0.5000
4 Pb 0.5000 0.0000 0.5000

Its formation energy is -28.5 kJ per mole of atoms. As for the space group: P4/mmm.


[5]
This record from Alexandria via LeMat-Bulk describes a relaxed CePuPb4 crystal. The functional is PBE.

abc: 6.4322 6.4322 6.4322
angles: 60.00 60.00 60.00
Atoms (fractional coordinates):
1 Ce 0.0000 0.0000 0.0000
2 Pu 0.2500 0.2500 0.2500
3 Pb 0.1253 0.6249 0.6249
4 Pb 0.6249 0.1253 0.6249
5 Pb 0.6249 0.6249 0.1253
6 Pb 0.6249 0.6249 0.6249

Its formation energy is -4.1 kJ per mole of atoms. As for the space group: F-43m.


[6]
This record from Alexandria via LeMat-Bulk describes a relaxed Ce5Pu2Pb2 crystal. The functional is PBE.

abc: 5.0974 5.0974 8.9920
angles: 90.00 90.00 90.00
Atoms (fractional coordinates):
1 Ce 0.0000 0.0000 0.0000
2 Ce 0.0000 0.5000 0.2655
3 Ce 0.0000 0.5000 0.7345
4 Ce 0.5000 0.0000 0.2655
5 Ce 0.5000 0.0000 0.7345
6 Pu 0.0000 0.0000 0.3663
7 Pu 0.0000 0.0000 0.6337
8 Pb 0.5000 0.5000 0.0000
9 Pb 0.5000 0.5000 0.5000

Its formation energy is -17.3 kJ per mole of atoms. As for the space group: P4/mmm.


[7]
This record from Alexandria via LeMat-Bulk describes a relaxed CePu2Pb9 crystal. The functional is PBE.

abc: 4.9411 4.9411 14.2794
angles: 90.00 90.00 90.00
Atoms (fractional coordinates):
1 Ce 0.0000 0.0000 0.0000
2 Pu 0.0000 0.0000 0.3329
3 Pu 0.0000 0.0000 0.6671
4 Pb 0.0000 0.5000 0.1682
5 Pb 0.0000 0.5000 0.5000
6 Pb 0.0000 0.5000 0.8318
7 Pb 0.5000 0.0000 0.1682
8 Pb 0.5000 0.0000 0.5000
9 Pb 0.5000 0.0000 0.8318
10 Pb 0.5000 0.5000 0.0000
11 Pb 0.5000 0.5000 0.3340
12 Pb 0.5000 0.5000 0.6660

Its formation energy is -21.4 kJ per mole of atoms. As for the space group: P4/mmm.


[8]
This record from Alexandria via LeMat-Bulk describes a relaxed CePu2Pb crystal. The functional is PBE.

abc: 4.7455 4.7455 4.9313
angles: 90.00 90.00 90.00
Atoms (fractional coordinates):
1 Ce 0.0000 0.0000 0.0000
2 Pu 0.0000 0.5000 0.5000
3 Pu 0.5000 0.0000 0.5000
4 Pb 0.5000 0.5000 0.0000

Its formation energy is -16.1 kJ per mole of atoms. As for the space group: P4/mmm.